1.
The following is a DFT calculation (PBE-GGA) of a relaxed BaNb3Ru crystal.

a = 4.997 Å, b = 4.997 Å, c = 4.997 Å
α = 90.00°, β = 90.00°, γ = 90.00°
Sites, in units of the cell vectors:
Ru 0.000 0.000 0.000
Nb 0.500 0.000 0.000
Nb 0.000 0.500 0.000
Nb 0.000 0.000 0.500
Ba 0.500 0.500 0.500

Values from the calculation:
**Magnetization**: 0.000 μB/atom
**ΔH_f (0 K)**: 900 meV/atom
**SG**: Pm-3m

2.
The following is a DFT calculation (PBE-GGA) of a relaxed BaNb3Ru crystal.

a = 4.970 Å, b = 4.970 Å, c = 4.970 Å
α = 90.00°, β = 90.00°, γ = 90.00°
Sites, in units of the cell vectors:
Nb 0.500 0.000 0.000
Nb 0.000 0.000 0.500
Nb 0.000 0.500 0.000
Ba 0.000 0.000 0.000
Ru 0.500 0.500 0.500

Values from the calculation:
**Magnetization**: 0.000 μB/atom
**ΔH_f (0 K)**: 2898 meV/atom
**SG**: Pm-3m

3.
The following is a DFT calculation (PBE-GGA) of a relaxed BaNbRu2 crystal.

a = 5.197 Å, b = 5.197 Å, c = 9.079 Å
α = 73.37°, β = 73.37°, γ = 90.00°
Sites, in units of the cell vectors:
Ru 0.375 0.125 0.250
Ru 0.875 0.625 0.750
Ru 0.375 0.625 0.250
Ru 0.375 0.625 0.750
Ba 0.000 0.000 0.000
Ba 0.750 0.250 0.500
Nb 0.500 0.500 0.000
Nb 0.250 0.750 0.500

Values from the calculation:
**Magnetization**: 0.000 μB/atom
**ΔH_f (0 K)**: 762 meV/atom
**SG**: I4_1/amd

4.
The following is a DFT calculation (PBE-GGA) of a relaxed BaSrNbRu2 crystal.

a = 5.102 Å, b = 5.275 Å, c = 5.102 Å
α = 90.00°, β = 90.00°, γ = 90.00°
Each line ends with the local moment (μB).
Sites, in units of the cell vectors:
Nb 0.000 0.500 0.000  1.36
Ba 0.000 0.000 0.000  0.04
Ru 0.500 0.000 0.000  0.38
Ru 0.000 0.000 0.500  0.60
Sr 0.500 0.500 0.500  0.03

Values from the calculation:
**Magnetization**: 0.561 μB/atom
**ΔH_f (0 K)**: 2012 meV/atom
**SG**: P4/mmm

5.
The following is a DFT calculation (PBE-GGA) of a relaxed BaNb2TcRu crystal.

a = 4.936 Å, b = 4.945 Å, c = 4.936 Å
α = 90.00°, β = 90.00°, γ = 90.00°
Each line ends with the local moment (μB).
Sites, in units of the cell vectors:
Ru 0.000 0.500 0.000  0.05
Nb 0.000 0.000 0.500  0.39
Nb 0.500 0.000 0.000  0.56
Ba 0.500 0.500 0.500  0.07
Tc 0.000 0.000 0.000  -0.09

Values from the calculation:
**Magnetization**: 0.248 μB/atom
**ΔH_f (0 K)**: 963 meV/atom
**SG**: P4/mmm

6.
The following is a DFT calculation (PBE-GGA) of a relaxed BaTiNb2Ru crystal.

a = 5.006 Å, b = 4.889 Å, c = 5.006 Å
α = 90.00°, β = 90.00°, γ = 90.00°
Each line ends with the local moment (μB).
Sites, in units of the cell vectors:
Ba 0.500 0.500 0.500  0.04
Ru 0.000 0.000 0.000  -0.01
Ti 0.000 0.500 0.000  -0.12
Nb 0.000 0.000 0.500  0.23
Nb 0.500 0.000 0.000  0.40

Values from the calculation:
**Magnetization**: 0.132 μB/atom
**ΔH_f (0 K)**: 706 meV/atom
**SG**: P4/mmm

7.
The following is a DFT calculation (PBE-GGA) of a relaxed Ba2NbVRu crystal.

a = 6.166 Å, b = 4.316 Å, c = 6.166 Å
α = 90.00°, β = 90.00°, γ = 90.00°
Each line ends with the local moment (μB).
Sites, in units of the cell vectors:
Nb 0.500 0.500 0.500  0.37
Ru 0.000 0.500 0.000  -0.36
Ba 0.000 0.000 0.500  0.08
Ba 0.500 0.000 0.000  0.05
V 0.000 0.000 0.000  1.36

Values from the calculation:
**Magnetization**: 0.386 μB/atom
**ΔH_f (0 K)**: 1499 meV/atom
**SG**: P4/mmm

8.
The following is a DFT calculation (PBE-GGA) of a relaxed BaNbZnRu2 crystal.

a = 4.927 Å, b = 5.142 Å, c = 4.927 Å
α = 90.00°, β = 90.00°, γ = 90.00°
Sites, in units of the cell vectors:
Zn 0.500 0.500 0.500
Ru 0.000 0.000 0.500
Ru 0.500 0.000 0.000
Nb 0.000 0.500 0.000
Ba 0.000 0.000 0.000

Values from the calculation:
**Magnetization**: 0.001 μB/atom
**ΔH_f (0 K)**: 2625 meV/atom
**SG**: P4/mmm

9.
The following is a DFT calculation (PBE-GGA) of a relaxed BaNb4S8 crystal.

a = 7.477 Å, b = 7.477 Å, c = 7.477 Å
α = 60.00°, β = 60.00°, γ = 60.00°
Sites, in units of the cell vectors:
S 0.124 0.124 0.124
S 0.627 0.124 0.124
S 0.599 0.599 0.204
S 0.599 0.599 0.599
S 0.124 0.124 0.627
S 0.599 0.204 0.599
S 0.124 0.627 0.124
S 0.204 0.599 0.599
Ba 0.750 0.750 0.750
Nb 0.931 0.356 0.356
Nb 0.356 0.931 0.356
Nb 0.356 0.356 0.931
Nb 0.356 0.356 0.356

Values from the calculation:
**ΔE_f (raw)**: -1.016 eV/atom
**Magnetization**: 0.000 μB/atom
**SG**: F-43m

10.
The following is a DFT calculation (PBE-GGA) of a relaxed Ba2NbS3 crystal.

a = 4.323 Å, b = 4.844 Å, c = 8.680 Å
α = 106.20°, β = 104.42°, γ = 90.00°
Each line ends with the local moment (μB).
Sites, in units of the cell vectors:
Ba 0.356 0.356 0.712  0.02
Ba 0.644 0.644 0.288  0.02
S 0.844 0.844 0.688  0.01
S 0.000 0.500 0.000  -0.01
S 0.156 0.156 0.312  0.01
Nb 0.000 0.000 0.000  0.70

Values from the calculation:
**ΔE_f (raw)**: -1.457 eV/atom
**Magnetization**: 0.175 μB/atom
**SG**: Immm

11.
The following is a DFT calculation (PBE-GGA) of a relaxed Ba3NbS crystal.

a = 6.096 Å, b = 6.096 Å, c = 6.096 Å
α = 90.00°, β = 90.00°, γ = 90.00°
Each line ends with the local moment (μB).
Sites, in units of the cell vectors:
Ba 0.000 0.500 0.000  0.06
Ba 0.000 0.000 0.500  0.07
Ba 0.500 0.000 0.000  0.08
Nb 0.500 0.500 0.500  2.86
S 0.000 0.000 0.000  0.01

Values from the calculation:
**ΔE_f (raw)**: -0.043 eV/atom
**Magnetization**: 0.996 μB/atom
**SG**: Pm-3m

12.
The following is a DFT calculation (PBE-GGA) of a relaxed Ba6Nb5S17 crystal.

a = 8.835 Å, b = 9.166 Å, c = 9.071 Å
α = 82.56°, β = 85.19°, γ = 82.10°
Sites, in units of the cell vectors:
S 0.123 0.931 0.246
S 0.910 0.078 0.745
S 0.893 0.249 0.073
S 0.923 0.755 0.591
S 0.260 0.404 0.070
S 0.090 0.743 0.937
S 0.553 0.898 0.785
S 0.751 0.436 0.586
S 0.246 0.581 0.415
S 0.747 0.930 0.092
S 0.254 0.092 0.927
S 0.764 0.579 0.918
S 0.569 0.801 0.414
S 0.431 0.222 0.576
S 0.612 0.429 0.260
S 0.080 0.245 0.412
S 0.420 0.575 0.733
Ba 0.240 0.901 0.593
Ba 0.083 0.417 0.746
Ba 0.918 0.592 0.260
Ba 0.580 0.257 0.890
Ba 0.769 0.091 0.410
Ba 0.418 0.712 0.094
Nb 0.661 0.690 0.643
Nb 0.011 0.995 0.996
Nb 0.478 0.457 0.492
Nb 0.822 0.831 0.847
Nb 0.133 0.204 0.166

Values from the calculation:
**ΔE_f (raw)**: -1.451 eV/atom
**Magnetization**: 0.000 μB/atom
**SG**: P1

no.,calculated volume (Å³/cell),calculated density (g/cm³)
1,124.8,6.88
2,122.8,6.99
3,224.2,6.40
4,137.3,6.29
5,120.5,7.20
6,122.5,6.40
7,164.1,5.26
8,124.8,6.62
9,295.6,4.30
10,168.6,4.57
11,226.5,3.94
12,719.9,4.23